First-principles (PBE) data for YHf after structural relaxation, as listed in the Alexandria database.

Calculated values
Symmetry: I4/m, No. 87
ΔH_f (0 K) (eV/atom): 0.471
Fermi-level density of states (states/eV/cell): 20.14

The structure in CIF format:
```
data_YHf
_chemical_formula_sum 'Y8 Hf8'
_space_group_name_H-M_alt 'P 1'
_space_group_IT_number 1
_cell_length_a 11.807
_cell_length_b 11.807
_cell_length_c 3.197
_cell_angle_alpha 90.00
_cell_angle_beta 90.00
_cell_angle_gamma 90.00
loop_
_space_group_symop_operation_xyz
'x,y,z'
loop_
_atom_site_label
_atom_site_type_symbol
_atom_site_fract_x
_atom_site_fract_y
_atom_site_fract_z
Hf1 Hf 0.158 0.920 0.500
Hf2 Hf 0.420 0.342 0.000
Hf3 Hf 0.580 0.658 0.000
Hf4 Hf 0.080 0.158 0.500
Hf5 Hf 0.342 0.580 0.000
Hf6 Hf 0.842 0.080 0.500
Hf7 Hf 0.658 0.420 0.000
Hf8 Hf 0.920 0.842 0.500
Y1 Y 0.340 0.109 0.500
Y2 Y 0.660 0.891 0.500
Y3 Y 0.160 0.391 0.000
Y4 Y 0.109 0.660 0.500
Y5 Y 0.391 0.840 0.000
Y6 Y 0.891 0.340 0.500
Y7 Y 0.840 0.609 0.000
Y8 Y 0.609 0.160 0.000
```

First-principles (PBE) data for Ta2TlIn after structural relaxation, as listed in the Alexandria database.

Calculated values
Symmetry: P4mm, No. 99
ΔH_f (0 K) (eV/atom): 0.412
Fermi-level density of states (states/eV/cell): 4.35

The structure in CIF format:
```
data_Ta2TlIn
_chemical_formula_sum 'Ta2 Tl1 In1'
_space_group_name_H-M_alt 'P 1'
_space_group_IT_number 1
_cell_length_a 2.982
_cell_length_b 2.982
_cell_length_c 9.793
_cell_angle_alpha 90.00
_cell_angle_beta 90.00
_cell_angle_gamma 90.00
loop_
_space_group_symop_operation_xyz
'x,y,z'
loop_
_atom_site_label
_atom_site_type_symbol
_atom_site_fract_x
_atom_site_fract_y
_atom_site_fract_z
Ta1 Ta 0.000 0.000 0.011
Ta2 Ta 0.500 0.500 0.228
In1 In 0.500 0.500 0.781
Tl1 Tl 0.000 0.000 0.480
```

First-principles (PBE) data for ZrScSb3 after structural relaxation, as listed in the Alexandria database.

Calculated values
Symmetry: Pm-3m, No. 221
Energy relative to the elements, uncorrected (eV/atom): 0.25
Fermi-level density of states (states/eV/cell): 8.04

The structure in CIF format:
```
data_ZrScSb3
_chemical_formula_sum 'Zr1 Sc1 Sb3'
_space_group_name_H-M_alt 'P 1'
_space_group_IT_number 1
_cell_length_a 5.492
_cell_length_b 5.492
_cell_length_c 5.492
_cell_angle_alpha 90.00
_cell_angle_beta 90.00
_cell_angle_gamma 90.00
loop_
_space_group_symop_operation_xyz
'x,y,z'
loop_
_atom_site_label
_atom_site_type_symbol
_atom_site_fract_x
_atom_site_fract_y
_atom_site_fract_z
Sc1 Sc 0.500 0.500 0.500
Sb1 Sb 0.000 0.000 0.500
Sb2 Sb 0.000 0.500 0.000
Sb3 Sb 0.500 0.000 0.000
Zr1 Zr 0.000 0.000 0.000
```

First-principles (PBE) data for InPtBr2 after structural relaxation, as listed in the Alexandria database.

Calculated values
Symmetry: R-3m, No. 166
Energy relative to the elements, uncorrected (eV/atom): 0.09
Fermi-level density of states (states/eV/cell): 4.22

The structure in CIF format:
```
data_InPtBr2
_chemical_formula_sum 'In1 Pt1 Br2'
_space_group_name_H-M_alt 'P 1'
_space_group_IT_number 1
_cell_length_a 6.884
_cell_length_b 6.884
_cell_length_c 6.884
_cell_angle_alpha 36.54
_cell_angle_beta 36.54
_cell_angle_gamma 36.54
loop_
_space_group_symop_operation_xyz
'x,y,z'
loop_
_atom_site_label
_atom_site_type_symbol
_atom_site_fract_x
_atom_site_fract_y
_atom_site_fract_z
Pt1 Pt 0.750 0.750 0.750
In1 In 0.250 0.250 0.250
Br1 Br 0.018 0.018 0.018
Br2 Br 0.482 0.482 0.482
```

First-principles (PBE) data for MnTlRe4 after structural relaxation, as listed in the Alexandria database.

Calculated values
Symmetry: F-43m, No. 216
ΔH_f (0 K) (eV/atom): 0.709
Fermi-level density of states (states/eV/cell): 5.19

The structure in CIF format:
```
data_MnTlRe4
_chemical_formula_sum 'Mn1 Tl1 Re4'
_space_group_name_H-M_alt 'P 1'
_space_group_IT_number 1
_cell_length_a 5.260
_cell_length_b 5.260
_cell_length_c 5.260
_cell_angle_alpha 60.00
_cell_angle_beta 60.00
_cell_angle_gamma 60.00
loop_
_space_group_symop_operation_xyz
'x,y,z'
loop_
_atom_site_label
_atom_site_type_symbol
_atom_site_fract_x
_atom_site_fract_y
_atom_site_fract_z
Re1 Re 0.374 0.374 0.374
Re2 Re 0.877 0.374 0.374
Re3 Re 0.374 0.877 0.374
Re4 Re 0.374 0.374 0.877
Tl1 Tl 0.750 0.750 0.750
Mn1 Mn 0.000 0.000 0.000
```

First-principles (PBE) data for MgSiSnW2 after structural relaxation, as listed in the Alexandria database.

Calculated values
Symmetry: P4/mmm, No. 123
Energy relative to the elements, uncorrected (eV/atom): 2.40
Fermi-level density of states (states/eV/cell): 7.69

The structure in CIF format:
```
data_MgSiSnW2
_chemical_formula_sum 'Mg1 Si1 Sn1 W2'
_space_group_name_H-M_alt 'P 1'
_space_group_IT_number 1
_cell_length_a 4.773
_cell_length_b 4.782
_cell_length_c 4.773
_cell_angle_alpha 90.00
_cell_angle_beta 90.00
_cell_angle_gamma 90.00
loop_
_space_group_symop_operation_xyz
'x,y,z'
loop_
_atom_site_label
_atom_site_type_symbol
_atom_site_fract_x
_atom_site_fract_y
_atom_site_fract_z
Si1 Si 0.500 0.500 0.500
Mg1 Mg 0.000 0.000 0.000
W1 W 0.000 0.000 0.500
W2 W 0.500 0.000 0.000
Sn1 Sn 0.000 0.500 0.000
```

First-principles (PBE) data for CsFe3Ni after structural relaxation, as listed in the Alexandria database.

Calculated values
Symmetry: Pm-3m, No. 221
ΔH_f (0 K) (eV/atom): 1.193
Fermi-level density of states (states/eV/cell): 5.55

The structure in CIF format:
```
data_CsFe3Ni
_chemical_formula_sum 'Cs1 Fe3 Ni1'
_space_group_name_H-M_alt 'P 1'
_space_group_IT_number 1
_cell_length_a 4.703
_cell_length_b 4.703
_cell_length_c 4.703
_cell_angle_alpha 90.00
_cell_angle_beta 90.00
_cell_angle_gamma 90.00
loop_
_space_group_symop_operation_xyz
'x,y,z'
loop_
_atom_site_label
_atom_site_type_symbol
_atom_site_fract_x
_atom_site_fract_y
_atom_site_fract_z
Fe1 Fe 0.000 0.500 0.000
Fe2 Fe 0.000 0.000 0.500
Fe3 Fe 0.500 0.000 0.000
Cs1 Cs 0.500 0.500 0.500
Ni1 Ni 0.000 0.000 0.000
```

First-principles (PBE) data for MnCrCu2Mo after structural relaxation, as listed in the Alexandria database.

Calculated values
Symmetry: P4/mmm, No. 123
ΔH_f (0 K) (eV/atom): 1.424
Fermi-level density of states (states/eV/cell): 6.12

The structure in CIF format:
```
data_MnCrCu2Mo
_chemical_formula_sum 'Mn1 Cr1 Cu2 Mo1'
_space_group_name_H-M_alt 'P 1'
_space_group_IT_number 1
_cell_length_a 4.377
_cell_length_b 3.912
_cell_length_c 4.377
_cell_angle_alpha 90.00
_cell_angle_beta 90.00
_cell_angle_gamma 90.00
loop_
_space_group_symop_operation_xyz
'x,y,z'
loop_
_atom_site_label
_atom_site_type_symbol
_atom_site_fract_x
_atom_site_fract_y
_atom_site_fract_z
Mo1 Mo 0.500 0.500 0.500
Mn1 Mn 0.000 0.500 0.000
Cu1 Cu 0.000 0.000 0.500
Cu2 Cu 0.500 0.000 0.000
Cr1 Cr 0.000 0.000 0.000
```

First-principles (PBE) data for Tl2InGaBr6 after structural relaxation, as listed in the Alexandria database.

Calculated values
Symmetry: R3, No. 146
Energy relative to the elements, uncorrected (eV/atom): -0.78

The structure in CIF format:
```
data_Tl2InGaBr6
_chemical_formula_sum 'Tl2 In1 Ga1 Br6'
_space_group_name_H-M_alt 'P 1'
_space_group_IT_number 1
_cell_length_a 7.921
_cell_length_b 7.921
_cell_length_c 8.038
_cell_angle_alpha 60.47
_cell_angle_beta 60.47
_cell_angle_gamma 60.00
loop_
_space_group_symop_operation_xyz
'x,y,z'
loop_
_atom_site_label
_atom_site_type_symbol
_atom_site_fract_x
_atom_site_fract_y
_atom_site_fract_z
Br1 Br 0.564 0.167 0.261
Br2 Br 0.476 0.642 0.782
Br3 Br 0.642 0.100 0.782
Br4 Br 0.008 0.564 0.261
Br5 Br 0.167 0.008 0.261
Br6 Br 0.100 0.476 0.782
Tl1 Tl 0.537 0.537 0.389
Tl2 Tl 0.031 0.031 0.906
Ga1 Ga 0.815 0.815 0.556
In1 In 0.321 0.321 0.036
```

First-principles (PBE) data for Li2Ac2YTl5 after structural relaxation, as listed in the Alexandria database.

Calculated values
Symmetry: P4/mbm, No. 127
ΔH_f (0 K) (eV/atom): -0.323
Fermi-level density of states (states/eV/cell): 9.06

The structure in CIF format:
```
data_Li2Ac2YTl5
_chemical_formula_sum 'Li4 Ac4 Y2 Tl10'
_space_group_name_H-M_alt 'P 1'
_space_group_IT_number 1
_cell_length_a 4.454
_cell_length_b 11.115
_cell_length_c 11.115
_cell_angle_alpha 90.00
_cell_angle_beta 90.00
_cell_angle_gamma 90.00
loop_
_space_group_symop_operation_xyz
'x,y,z'
loop_
_atom_site_label
_atom_site_type_symbol
_atom_site_fract_x
_atom_site_fract_y
_atom_site_fract_z
Li1 Li 0.000 0.116 0.616
Li2 Li 0.000 0.384 0.116
Li3 Li 0.000 0.884 0.384
Li4 Li 0.000 0.616 0.884
Tl1 Tl 0.500 0.710 0.433
Tl2 Tl 0.500 0.210 0.067
Tl3 Tl 0.500 0.290 0.567
Tl4 Tl 0.500 0.790 0.933
Tl5 Tl 0.500 0.067 0.790
Tl6 Tl 0.500 0.433 0.290
Tl7 Tl 0.500 0.567 0.710
Tl8 Tl 0.500 0.500 0.000
Tl9 Tl 0.500 0.000 0.500
Tl10 Tl 0.500 0.933 0.210
Y1 Y 0.000 0.000 0.000
Y2 Y 0.000 0.500 0.500
Ac1 Ac 0.000 0.321 0.821
Ac2 Ac 0.000 0.821 0.679
Ac3 Ac 0.000 0.179 0.321
Ac4 Ac 0.000 0.679 0.179
```

First-principles (PBE) data for Cs2RuS4 after structural relaxation, as listed in the Alexandria database.

Calculated values
Symmetry: I4/mmm, No. 139
Energy relative to the elements, uncorrected (eV/atom): -0.34
Fermi-level density of states (states/eV/cell): 2.97

The structure in CIF format:
```
data_Cs2RuS4
_chemical_formula_sum 'Cs2 Ru1 S4'
_space_group_name_H-M_alt 'P 1'
_space_group_IT_number 1
_cell_length_a 4.936
_cell_length_b 4.936
_cell_length_c 9.322
_cell_angle_alpha 74.65
_cell_angle_beta 74.65
_cell_angle_gamma 90.00
loop_
_space_group_symop_operation_xyz
'x,y,z'
loop_
_atom_site_label
_atom_site_type_symbol
_atom_site_fract_x
_atom_site_fract_y
_atom_site_fract_z
S1 S 0.500 0.000 0.000
S2 S 0.000 0.500 0.000
S3 S 0.135 0.135 0.731
S4 S 0.865 0.865 0.269
Cs1 Cs 0.649 0.649 0.701
Cs2 Cs 0.351 0.351 0.299
Ru1 Ru 0.000 0.000 0.000
```

First-principles (PBE) data for Ir3Cl after structural relaxation, as listed in the Alexandria database.

Calculated values
Symmetry: Pmm2, No. 25
Energy relative to the elements, uncorrected (eV/atom): 0.64
Fermi-level density of states (states/eV/cell): 3.94

The structure in CIF format:
```
data_Ir3Cl
_chemical_formula_sum 'Ir3 Cl1'
_space_group_name_H-M_alt 'P 1'
_space_group_IT_number 1
_cell_length_a 2.728
_cell_length_b 3.504
_cell_length_c 7.523
_cell_angle_alpha 90.00
_cell_angle_beta 90.00
_cell_angle_gamma 90.00
loop_
_space_group_symop_operation_xyz
'x,y,z'
loop_
_atom_site_label
_atom_site_type_symbol
_atom_site_fract_x
_atom_site_fract_y
_atom_site_fract_z
Ir1 Ir 0.000 0.500 0.317
Ir2 Ir 0.500 0.000 0.513
Ir3 Ir 0.500 0.500 0.740
Cl1 Cl 0.000 0.000 0.096
```

First-principles (PBE) data for In2Hg4SbCl5 after structural relaxation, as listed in the Alexandria database.

Calculated values
Symmetry: Amm2, No. 38
Energy relative to the elements, uncorrected (eV/atom): -0.48
Fermi-level density of states (states/eV/cell): 2.15

The structure in CIF format:
```
data_In2Hg4SbCl5
_chemical_formula_sum 'In2 Hg4 Sb1 Cl5'
_space_group_name_H-M_alt 'P 1'
_space_group_IT_number 1
_cell_length_a 6.821
_cell_length_b 7.531
_cell_length_c 8.211
_cell_angle_alpha 90.00
_cell_angle_beta 90.00
_cell_angle_gamma 116.93
loop_
_space_group_symop_operation_xyz
'x,y,z'
loop_
_atom_site_label
_atom_site_type_symbol
_atom_site_fract_x
_atom_site_fract_y
_atom_site_fract_z
Hg1 Hg 0.075 0.737 0.000
Hg2 Hg 0.649 0.000 0.333
Hg3 Hg 0.649 0.000 0.667
Hg4 Hg 0.338 0.263 0.000
Sb1 Sb 0.508 0.000 0.000
Cl1 Cl 0.100 0.357 0.208
Cl2 Cl 0.186 0.000 0.500
Cl3 Cl 0.742 0.643 0.208
Cl4 Cl 0.100 0.357 0.792
Cl5 Cl 0.742 0.643 0.792
In1 In 0.953 0.588 0.500
In2 In 0.365 0.412 0.500
```

First-principles (PBE) data for TlAsSe2O after structural relaxation, as listed in the Alexandria database.

Calculated values
Symmetry: P4/mmm, No. 123
Energy relative to the elements, uncorrected (eV/atom): 1.49
Fermi-level density of states (states/eV/cell): 13.75

The structure in CIF format:
```
data_TlAsSe2O
_chemical_formula_sum 'Tl1 As1 Se2 O1'
_space_group_name_H-M_alt 'P 1'
_space_group_IT_number 1
_cell_length_a 5.325
_cell_length_b 5.325
_cell_length_c 5.496
_cell_angle_alpha 90.00
_cell_angle_beta 90.00
_cell_angle_gamma 90.00
loop_
_space_group_symop_operation_xyz
'x,y,z'
loop_
_atom_site_label
_atom_site_type_symbol
_atom_site_fract_x
_atom_site_fract_y
_atom_site_fract_z
Tl1 Tl 0.000 0.000 0.000
Se1 Se 0.000 0.500 0.000
Se2 Se 0.500 0.000 0.000
O1 O 0.500 0.500 0.500
As1 As 0.000 0.000 0.500
```

| no. | calculated volume (A^3/atom) | magnetization (μB per cell) |
| --- | --- | --- |
| 1 | 27.85 | 0.00 |
| 2 | 21.77 | 0.00 |
| 3 | 33.13 | 0.00 |
| 4 | 25.89 | 0.00 |
| 5 | 17.15 | 3.54 |
| 6 | 21.79 | 1.56 |
| 7 | 20.80 | 10.00 |
| 8 | 14.99 | 0.00 |
| 9 | 35.91 | 0.00 |
| 10 | 27.51 | 0.00 |
| 11 | 30.09 | 4.71 |
| 12 | 17.98 | 0.00 |
| 13 | 31.34 | 0.00 |
| 14 | 31.17 | 1.03 |